Material: Mg6Al2Hg
Method: DFT, PBE
State: optimized geometry

* formation energy from the elements: -0.021 eV per atom

a b c (Å): 9.7835 4.3460 9.2988
angles (deg): 90.00 107.14 90.00
Closest atoms and distances in Å follow each position.
Space group C2/m (No. 12)
Inequivalent atoms, fractional coordinates:
Mg (0.0010, 0.0000, 0.3239) x4  1 Hg 3.01, 3 Al 3.04-3.05, 8 Mg 3.09-3.28
Mg (0.1653, 0.5000, 0.8939) x4  3 Hg 3.04-3.13, 5 Mg 3.07-3.15, 4 Al 3.09-3.18
Mg (0.1667, 0.5000, 0.5556) x4  3 Al 3.05, 9 Mg 3.07-3.15
Al (0.1747, 0.5000, 0.2296) x4  10 Mg 3.04-3.18, 2 Hg 3.17
Hg (0.0000, 0.0000, 0.0000) x2  8 Mg 3.01-3.13, 4 Al 3.17